Record 1
{"formula": "ScTc2AgRu", "functional": "GGA-PBE", "state": "optimized geometry", "cell": [[4.607, 0.000, 0.000], [0.000, 4.588, 0.000], [0.000, 0.000, 4.607]], "species": ["Ru", "Tc", "Tc", "Ag", "Sc"], "fractional_positions": [[0.000, 0.500, 0.000], [0.500, 0.000, 0.000], [0.000, 0.000, 0.500], [0.500, 0.500, 0.500], [0.000, 0.000, 0.000]], "formation_energy_mev_per_atom": 1740, "space_group": "P4/mmm, No. 123", "dos_ef_per_ev_cell": 6.57}

=====

Record 2
{"formula": "TaTcNi2", "functional": "GGA-PBE", "state": "optimized geometry", "cell": [[-2.274, -0.857, 2.887], [2.988, -1.073, 2.035], [0.360, 3.524, 1.330]], "species": ["Tc", "Ta", "Ni", "Ni"], "fractional_positions": [[0.000, 0.500, 0.500], [0.500, 0.000, 0.500], [0.000, 0.000, 0.000], [0.500, 0.500, 0.000]], "formation_energy_mev_per_atom": -216, "polymorph_energy_ev_per_atom": 0.0000, "space_group": "P4/mmm, No. 123", "dos_ef_per_ev_cell": 5.02}

=====

Record 3
{"formula": "PuGaPdO6", "functional": "GGA-PBE", "state": "optimized geometry", "cell": [[5.250, 0.000, 0.000], [-2.625, 4.547, 0.000], [0.000, 0.000, 9.044]], "species": ["O", "O", "O", "O", "O", "O", "O", "O", "O", "O", "O", "O", "Ga", "Ga", "Pd", "Pd", "Pu", "Pu"], "fractional_positions": [[0.007, 0.662, 0.871], [0.345, 0.007, 0.129], [0.338, 0.993, 0.629], [0.662, 0.655, 0.129], [0.662, 0.007, 0.371], [0.338, 0.345, 0.871], [0.993, 0.655, 0.371], [0.345, 0.338, 0.371], [0.655, 0.993, 0.871], [0.655, 0.662, 0.629], [0.007, 0.345, 0.629], [0.993, 0.338, 0.129], [0.667, 0.333, 0.250], [0.333, 0.667, 0.750], [0.000, 0.000, 0.000], [0.000, 0.000, 0.500], [0.333, 0.667, 0.250], [0.667, 0.333, 0.750]], "e_form_raw_ev_per_fu": -13.9, "space_group": "P-31c, No. 163", "dos_ef_per_ev_cell": 7.88}

=====

Record 4
{"formula": "ZnSiGeRu2", "functional": "GGA-PBE", "state": "optimized geometry", "cell": [[4.625, 0.000, 0.000], [0.000, 4.157, 0.000], [0.000, 0.000, 4.625]], "species": ["Ru", "Ru", "Si", "Ge", "Zn"], "fractional_positions": [[0.000, 0.000, 0.500], [0.500, 0.000, 0.000], [0.000, 0.500, 0.000], [0.500, 0.500, 0.500], [0.000, 0.000, 0.000]], "e_form_raw_ev_per_fu": 6.2, "space_group": "P4/mmm, No. 123", "dos_ef_per_ev_cell": 6.24}

=====

Repeat the third record exactly.
{"formula": "PuGaPdO6", "functional": "GGA-PBE", "state": "optimized geometry", "cell": [[5.250, 0.000, 0.000], [-2.625, 4.547, 0.000], [0.000, 0.000, 9.044]], "species": ["O", "O", "O", "O", "O", "O", "O", "O", "O", "O", "O", "O", "Ga", "Ga", "Pd", "Pd", "Pu", "Pu"], "fractional_positions": [[0.007, 0.662, 0.871], [0.345, 0.007, 0.129], [0.338, 0.993, 0.629], [0.662, 0.655, 0.129], [0.662, 0.007, 0.371], [0.338, 0.345, 0.871], [0.993, 0.655, 0.371], [0.345, 0.338, 0.371], [0.655, 0.993, 0.871], [0.655, 0.662, 0.629], [0.007, 0.345, 0.629], [0.993, 0.338, 0.129], [0.667, 0.333, 0.250], [0.333, 0.667, 0.750], [0.000, 0.000, 0.000], [0.000, 0.000, 0.500], [0.333, 0.667, 0.250], [0.667, 0.333, 0.750]], "e_form_raw_ev_per_fu": -13.9, "space_group": "P-31c, No. 163", "dos_ef_per_ev_cell": 7.88}